# HoTcGe2Ir (GGA-PBE, optimized geometry)
data_HoTcGe2Ir
_chemical_formula_sum 'Ho2 Tc2 Ge4 Ir2'
_cell_length_a 4.279
_cell_length_b 4.279
_cell_length_c 9.915
_cell_angle_alpha 90.00
_cell_angle_beta 90.00
_cell_angle_gamma 90.00
_symmetry_space_group_name_H-M 'I -4 m 2'
_symmetry_Int_Tables_number 119
_symmetry_space_group_name_Hall 'I -4 -2'
loop_
_atom_site_label
_atom_site_type_symbol
_atom_site_fract_x
_atom_site_fract_y
_atom_site_fract_z
Ho1 Ho 0.000 0.000 0.000
Tc1 Tc 0.000 0.500 0.750
Ge1 Ge 0.000 0.000 0.373
Ir1 Ir 0.000 0.500 0.250
# Energy of formation from the pure elements (meV/atom): -605